First-principles (GGA-PBE) data for PrIn2SnSe4 after structural relaxation, as listed in Alexandria.

Geometry as POSCAR:
```
PrIn2SnSe4
1.0
-0.838 0.317 4.171
-3.114 -6.971 -0.096
5.345 -5.089 1.460
In Se Sn Pr
2 4 1 1
Direct
0.500 0.000 0.500
0.000 0.000 0.000
0.000 0.740 0.747
0.000 0.260 0.253
0.500 0.267 0.739
0.500 0.733 0.261
0.500 0.500 0.000
0.000 0.500 0.500
```

Results
Formation energy from raw total energies = -0.813 eV/atom
SG = P2/m (10)
Crystal system = monoclinic
Calculated total energy = -34.700 eV per cell
DOS at the Fermi energy = 4.7 states/eV per cell
Total magnetization = 0.0 Bohr magnetons per cell